DFT (PBE) results for a relaxed structure of TlPF6.

Structure (POSCAR):
```
TlPF6
1.0
2.7486 1.5869 4.9423
-2.7486 1.5869 4.9423
0.0000 -3.1738 4.9423
Tl P F
1 1 6
direct
0.0000 0.0000 0.0000
0.5000 0.5000 0.5000
0.1546 0.5769 0.5769
0.4231 0.4231 0.8454
0.4231 0.8454 0.4231
0.5769 0.1546 0.5769
0.5769 0.5769 0.1546
0.8454 0.4231 0.4231
```

Properties
Its total moment is 0.00 μB/f.u. The calculation puts the raw total energy at -4.87 eV per atom.


DFT (PBE) results for a relaxed structure of TlP3F.

Structure (POSCAR):
```
TlP3F
1.0
4.5610 0.0000 0.0000
0.0000 4.5610 0.0000
0.0000 0.0000 4.5610
Tl P F
1 3 1
direct
0.0000 0.0000 0.0000
0.0000 0.5000 0.5000
0.5000 0.0000 0.5000
0.5000 0.5000 0.0000
0.5000 0.5000 0.5000
```

Properties
Its total moment is 0.00 μB/f.u. The calculation puts the raw total energy at -3.36 eV per atom.


DFT (PBE) results for a relaxed structure of TlPF2.

Structure (POSCAR):
```
TlPF2
1.0
1.5678 0.9052 8.2720
-1.5678 0.9052 8.2720
0.0000 -1.8103 8.2720
Tl P F
1 1 2
direct
0.0000 0.0000 0.0000
0.5000 0.5000 0.5000
0.4275 0.4275 0.4275
0.5725 0.5725 0.5725
```

Properties
Its total moment is 0.00 μB/f.u. The calculation puts the raw total energy at -4.03 eV per atom.


DFT (PBE) results for a relaxed structure of TlPF6.

Structure (POSCAR):
```
TlPF6
1.0
8.0201 0.0000 0.0000
0.0000 8.0201 0.0000
0.0000 0.0000 8.0201
Tl P F
4 4 24
direct
0.0000 0.0000 0.0000
0.0000 0.5000 0.5000
0.5000 0.0000 0.5000
0.5000 0.5000 0.0000
0.0000 0.0000 0.5000
0.0000 0.5000 0.0000
0.5000 0.0000 0.0000
0.5000 0.5000 0.5000
0.0680 0.1290 0.6435
0.0680 0.3710 0.1435
0.1290 0.6435 0.0680
0.1290 0.8565 0.5680
0.1435 0.0680 0.3710
0.1435 0.4320 0.8710
0.3565 0.5680 0.3710
0.3565 0.9320 0.8710
0.3710 0.1435 0.0680
0.3710 0.3565 0.5680
0.4320 0.6290 0.6435
0.4320 0.8710 0.1435
0.5680 0.1290 0.8565
0.5680 0.3710 0.3565
0.6290 0.6435 0.4320
0.6290 0.8565 0.9320
0.6435 0.0680 0.1290
0.6435 0.4320 0.6290
0.8565 0.5680 0.1290
0.8565 0.9320 0.6290
0.8710 0.1435 0.4320
0.8710 0.3565 0.9320
0.9320 0.6290 0.8565
0.9320 0.8710 0.3565
```

Properties
Its total moment is 0.00 μB/f.u. The calculation puts the raw total energy at -4.87 eV per atom.


DFT (PBE) results for a relaxed structure of TlPF2.

Structure (POSCAR):
```
TlPF2
1.0
0.0000 3.2047 3.2047
3.2047 0.0000 3.2047
3.2047 3.2047 0.0000
Tl P F
1 1 2
direct
0.0000 0.0000 0.0000
0.5000 0.5000 0.5000
0.2500 0.2500 0.2500
0.7500 0.7500 0.7500
```

Properties
Its total moment is 1.84 μB/f.u. The calculation puts the raw total energy at -3.36 eV per atom.


DFT (PBE) results for a relaxed structure of TlPF.

Structure (POSCAR):
```
TlPF
1.0
6.4132 0.0000 0.0000
0.0000 3.2618 0.0000
0.0000 0.0000 14.6152
Tl P F
4 4 4
direct
0.0295 0.2500 0.1670
0.4705 0.7500 0.6670
0.5295 0.2500 0.3330
0.9705 0.7500 0.8330
0.1058 0.7500 0.4885
0.3942 0.2500 0.9885
0.6058 0.7500 0.0115
0.8942 0.2500 0.5115
0.2323 0.2500 0.7567
0.2677 0.7500 0.2567
0.7323 0.2500 0.7433
0.7677 0.7500 0.2433
```

Properties
Its total moment is 0.00 μB/f.u. The calculation puts the raw total energy at -4.18 eV per atom.


DFT (PBE) results for a relaxed structure of TlP3F.

Structure (POSCAR):
```
TlP3F
1.0
5.1801 0.0000 0.0000
0.0000 5.1801 0.0000
0.0000 0.0000 5.1801
Tl P F
1 3 1
direct
0.0000 0.0000 0.0000
0.0000 0.0000 0.5000
0.0000 0.5000 0.0000
0.5000 0.0000 0.0000
0.5000 0.5000 0.5000
```

Properties
Its total moment is 1.25 μB/f.u. The calculation puts the raw total energy at -2.67 eV per atom.


DFT (PBE) results for a relaxed structure of TlPF2.

Structure (POSCAR):
```
TlPF2
1.0
1.9616 1.1325 5.1079
-1.9616 1.1325 5.1079
0.0000 -2.2651 5.1079
Tl P F
1 1 2
direct
0.0000 0.0000 0.0000
0.5000 0.5000 0.5000
0.1956 0.1956 0.1956
0.8044 0.8044 0.8044
```

Properties
Its total moment is 0.00 μB/f.u. The calculation puts the raw total energy at -3.68 eV per atom.


DFT (PBE) results for a relaxed structure of TlPF4.

Structure (POSCAR):
```
TlPF4
1.0
4.4316 0.0000 0.0000
0.0000 5.8501 0.0000
-0.7245 0.0000 8.9585
Tl P F
2 2 8
direct
0.2298 0.2500 0.0850
0.7702 0.7500 0.9150
0.4765 0.2500 0.6566
0.5235 0.7500 0.3434
0.2770 0.0433 0.7163
0.2770 0.4567 0.7163
0.3035 0.2500 0.4894
0.3155 0.7500 0.0743
0.6845 0.2500 0.9257
0.6965 0.7500 0.5106
0.7230 0.5433 0.2837
0.7230 0.9567 0.2837
```

Properties
Its total moment is 0.00 μB/f.u. The calculation puts the raw total energy at -4.68 eV per atom.


DFT (PBE) results for a relaxed structure of Tl2PF6.

Structure (POSCAR):
```
Tl2PF6
1.0
5.5171 0.0000 0.0000
-2.0133 5.1474 0.0000
-0.2614 -0.4385 5.9733
Tl P F
2 1 6
direct
0.2032 0.2965 0.9999
0.7968 0.7035 0.0001
0.5000 0.0000 0.5000
0.2507 0.7513 0.3872
0.3197 0.1797 0.5027
0.4126 0.9109 0.7514
0.5874 0.0891 0.2486
0.6803 0.8203 0.4973
0.7493 0.2487 0.6128
```

Properties
Its total moment is 0.00 μB/f.u. The calculation puts the raw total energy at -4.50 eV per atom.


DFT (PBE) results for a relaxed structure of TlPF5.

Structure (POSCAR):
```
TlPF5
1.0
5.2065 -3.0066 0.0000
5.2065 3.0066 0.0000
-3.7045 0.0000 7.9713
Tl P F
2 2 10
direct
0.2488 0.7512 0.5000
0.7512 0.2488 0.0000
0.5021 0.9990 0.2485
0.9990 0.5021 0.7485
0.1089 0.2180 0.8057
0.2180 0.1089 0.3057
0.2918 0.3902 0.7002
0.3780 0.8781 0.0590
0.3902 0.2918 0.2002
0.6191 0.7107 0.3026
0.7107 0.6191 0.8026
0.7910 0.8939 0.1971
0.8781 0.3780 0.5590
0.8939 0.7910 0.6971
```

Properties
Its total moment is 1.00 μB/f.u. The calculation puts the raw total energy at -4.61 eV per atom.


DFT (PBE) results for a relaxed structure of TlPF2.

Structure (POSCAR):
```
TlPF2
1.0
-2.0496 2.0496 7.8265
2.0496 -2.0496 7.8265
2.0496 2.0496 -7.8265
Tl P F
2 2 4
direct
0.0000 0.0000 0.0000
0.7500 0.2500 0.5000
0.2500 0.7500 0.5000
0.5000 0.5000 0.0000
0.1913 0.6250 0.0663
0.3750 0.4413 0.5663
0.5587 0.1250 0.9337
0.8750 0.8087 0.4337
```

Properties
Its total moment is 0.00 μB/f.u. The calculation puts the raw total energy at -3.68 eV per atom.


Copy entry 1 word for word.
DFT (PBE) results for a relaxed structure of TlPF6.

Structure (POSCAR):
```
TlPF6
1.0
2.7486 1.5869 4.9423
-2.7486 1.5869 4.9423
0.0000 -3.1738 4.9423
Tl P F
1 1 6
direct
0.0000 0.0000 0.0000
0.5000 0.5000 0.5000
0.1546 0.5769 0.5769
0.4231 0.4231 0.8454
0.4231 0.8454 0.4231
0.5769 0.1546 0.5769
0.5769 0.5769 0.1546
0.8454 0.4231 0.4231
```

Properties
Its total moment is 0.00 μB/f.u. The calculation puts the raw total energy at -4.87 eV per atom.


Q: Which value of total moment does entry 8 give?
A: 0.00 μB/f.u.


Q: Which formula does entry 3 have?
A: TlPF2